1.
Density functional theory data (PBE-GGA) for a relaxed BeTl2CoCl crystal.

Properties
**Density of states at the Fermi level**: 4.78 states/eV/f.u.
**Formation energy without anion corrections**: 0.83 eV/atom

POSCAR file:
```
BeTl2CoCl
1.0
5.962 0.000 0.000
0.000 5.962 0.000
0.000 0.000 4.064
Be Tl Co Cl
1 2 1 1
direct
0.000 0.000 0.000
0.000 0.500 0.500
0.500 0.000 0.500
0.500 0.500 0.000
0.500 0.500 0.500
```

2.
Density functional theory data (PBE-GGA) for a relaxed CeMgGa2Pt crystal.

Properties
**Density of states at the Fermi level**: 5.98 states/eV/f.u.
**Formation energy**: -0.698 eV/atom

POSCAR file:
```
CeMgGa2Pt
1.0
-2.067 2.129 5.772
2.067 -2.129 5.772
2.067 2.129 -5.772
Ce Mg Ga Pt
1 1 2 1
direct
0.000 0.000 0.000
0.250 0.750 0.500
0.606 0.606 0.000
0.754 0.254 0.500
0.390 0.390 0.000
```

3.
Density functional theory data (PBE-GGA) for a relaxed Ho2Zr2Ir3 crystal.

Properties
**Density of states at the Fermi level**: 3.14 states/eV/f.u.
**Formation energy**: -0.820 eV/atom

POSCAR file:
```
Ho2Zr2Ir3
1.0
2.326 1.343 7.910
-2.326 1.343 7.910
0.000 -2.686 7.910
Ho Zr Ir
2 2 3
direct
0.126 0.126 0.126
0.874 0.874 0.874
0.376 0.376 0.376
0.624 0.624 0.624
0.000 0.000 0.000
0.257 0.257 0.257
0.743 0.743 0.743
```

4.
Density functional theory data (PBE-GGA) for a relaxed Pr2SiGe crystal.

Properties
**Density of states at the Fermi level**: 3.55 states/eV/f.u.
**Formation energy without anion corrections**: -0.78 eV/atom

POSCAR file:
```
Pr2SiGe
1.0
6.004 0.000 0.000
0.000 4.036 0.000
-2.598 0.000 8.376
Pr Si Ge
4 2 2
direct
0.206 0.250 0.429
0.288 0.750 0.068
0.712 0.250 0.932
0.794 0.750 0.571
0.137 0.250 0.788
0.863 0.750 0.212
0.364 0.750 0.712
0.636 0.250 0.288
```

5.
Density functional theory data (PBE-GGA) for a relaxed HfCoTeI2 crystal.

Properties
**Density of states at the Fermi level**: 10.96 states/eV/f.u.
**Formation energy without anion corrections**: 0.48 eV/atom

POSCAR file:
```
HfCoTeI2
1.0
5.719 0.000 0.000
0.000 5.719 0.000
0.000 0.000 5.560
Hf Co Te I
1 1 1 2
direct
0.000 0.000 0.000
0.500 0.500 0.500
0.000 0.000 0.500
0.000 0.500 0.000
0.500 0.000 0.000
```

6.
Density functional theory data (PBE-GGA) for a relaxed YBeAl2 crystal.

Properties
**Density of states at the Fermi level**: 2.38 states/eV/f.u.
**Formation energy**: 0.050 eV/atom

POSCAR file:
```
YBeAl2
1.0
-2.054 2.054 4.486
2.054 -2.054 4.486
2.054 2.054 -4.486
Y Be Al
1 1 2
direct
0.000 0.000 0.000
0.500 0.500 0.000
0.250 0.750 0.500
0.750 0.250 0.500
```

7.
Density functional theory data (PBE-GGA) for a relaxed Li2Mg2H7 crystal.

Properties
**Density of states at the Fermi level**: 2.69 states/eV/f.u.
**Energy**: -2.8452 eV per atom

POSCAR file:
```
Li2Mg2H7
1.0
3.234 0.000 0.000
0.000 3.234 0.000
0.000 0.000 9.224
Li Mg H
2 2 7
direct
0.000 0.500 0.126
0.500 0.000 0.874
0.000 0.500 0.635
0.500 0.000 0.365
0.000 0.000 0.236
0.000 0.000 0.500
0.000 0.000 0.764
0.500 0.500 0.000
0.500 0.500 0.251
0.500 0.500 0.500
0.500 0.500 0.749
```

8.
Density functional theory data (PBE-GGA) for a relaxed ScAg2HgCl crystal.

Properties
**Density of states at the Fermi level**: 9.05 states/eV/f.u.
**Formation energy without anion corrections**: 0.48 eV/atom

POSCAR file:
```
ScAg2HgCl
1.0
5.160 0.000 0.000
0.000 5.160 0.000
0.000 0.000 5.668
Sc Ag Hg Cl
1 2 1 1
direct
0.000 0.000 0.000
0.000 0.500 0.500
0.500 0.000 0.500
0.500 0.500 0.500
0.500 0.500 0.000
```